TbHfAl2Ag4: relaxed, PBE.

Output
**Space-group type**: P-6m2
**Magnetization**: 0.0 μB per cell
**Uncorrected energy**: -4.39 eV per atom

Lattice parameters (Å, degrees): 4.540 4.540 8.695 90.00 90.00 120.00
Fractional coordinates of all 8 atoms:
1 Ag 0.333 0.667 0.162
2 Ag 0.000 0.000 0.331
3 Ag 0.000 0.000 0.669
4 Ag 0.333 0.667 0.838
5 Al 0.667 0.333 0.185
6 Al 0.667 0.333 0.815
7 Hf 0.000 0.000 0.000
8 Tb 0.333 0.667 0.500